Entry 1:
TbNi3Se4O12 | GGA+U | optimized geometry

## Properties
Crystal system: trigonal
Fermi-level density of states, states/eV per atom: 0.300
SG: R32 (155)
Raw total energy, eV per atom: -5.192
Calculated density, g/cm³: 5.51
V, Å³/cell: 253.9

a = 6.6578 Å, b = 6.6578 Å, c = 6.6578 Å
α = 105.72°, β = 105.72°, γ = 105.72°
Closest atoms and distances in Å follow each position.
Positions (direct):
1 Ni 0.5778 0.4222 0.0000  4 O 1.96-2.12
2 Ni 0.4222 0.0000 0.5778  4 O 1.96-2.12
3 Ni 0.0000 0.5778 0.4222  4 O 1.96-2.12
4 Se 0.8941 0.1059 0.5000  3 O 1.72-1.86
5 Se 0.1059 0.5000 0.8941  3 O 1.72-1.86
6 Se 0.5000 0.8941 0.1059  3 O 1.72-1.86
7 Se 0.5000 0.5000 0.5000  3 O 1.85
8 Tb 0.0000 0.0000 0.0000  6 O 2.33
9 O 0.6730 0.7506 0.9936  1 Se 1.86
10 O 0.3270 0.0064 0.2494  1 Se 1.86
11 O 0.6744 0.5000 0.3256  1 Se 1.85, 2 Ni 1.96
12 O 0.0563 0.9437 0.5000  1 Se 1.72
13 O 0.9437 0.5000 0.0563  1 Se 1.72
14 O 0.2494 0.3270 0.0064  1 Se 1.86
15 O 0.9936 0.6730 0.7506  1 Se 1.86
16 O 0.5000 0.0563 0.9437  1 Se 1.72
17 O 0.5000 0.3256 0.6744  1 Se 1.85, 2 Ni 1.96
18 O 0.3256 0.6744 0.5000  1 Se 1.85, 2 Ni 1.96
19 O 0.0064 0.2494 0.3270  1 Se 1.86
20 O 0.7506 0.9936 0.6730  1 Se 1.86


Entry 2:
TiNiSeO5 | GGA+U | optimized geometry

## Properties
Crystal system: monoclinic
SG: C2/c (15)
Raw total energy, eV per atom: -6.315
Calculated density, g/cm³: 4.37
V, Å³/cell: 201.8

a = 5.7158 Å, b = 5.7158 Å, c = 7.7416 Å
α = 109.50°, β = 109.50°, γ = 106.22°
Closest atoms and distances in Å follow each position.
Positions (direct):
1 O 0.2008 0.3961 0.5852  1 Se 1.73
2 O 0.7992 0.6039 0.4148  1 Se 1.73
3 O 0.6039 0.7992 0.9148  1 Se 1.73
4 O 0.0370 0.9630 0.2500  2 Ti 1.96, 1 Ni 1.99
5 O 0.3961 0.2008 0.0852  1 Se 1.73
6 O 0.3503 0.9478 0.5889  1 Ti 2.03, 1 Ni 2.04, 1 Se 2.11
7 O 0.6497 0.0522 0.4111  1 Ti 2.03, 1 Ni 2.04, 1 Se 2.11
8 O 0.9630 0.0370 0.7500  2 Ti 1.96, 1 Ni 1.99
9 O 0.9478 0.3503 0.0889  1 Ti 2.03, 1 Ni 2.04, 1 Se 2.11
10 O 0.0522 0.6497 0.9111  1 Ti 2.03, 1 Ni 2.04, 1 Se 2.11
11 Se 0.2730 0.7270 0.7500  2 O 1.73
12 Se 0.7270 0.2730 0.2500  2 O 1.73
13 Ti 0.0000 0.0000 0.5000  6 O 1.96-2.03
14 Ti 0.0000 0.0000 0.0000  6 O 1.96-2.03
15 Ni 0.2552 0.7448 0.2500  3 O 1.99-2.04
16 Ni 0.7448 0.2552 0.7500  3 O 1.99-2.04


Entry 3:
TlNiSeO5 | GGA+U | optimized geometry

## Properties
Crystal system: monoclinic
Fermi-level density of states, states/eV per atom: 0.160
SG: C2/c (15)
Raw total energy, eV per atom: -4.825
Calculated density, g/cm³: 5.46
V, Å³/cell: 256.6

a = 6.5993 Å, b = 6.5993 Å, c = 6.8334 Å
α = 90.00°, β = 90.00°, γ = 120.41°
Closest atoms and distances in Å follow each position.
Positions (direct):
1 Se 0.2689 0.7311 0.7500  4 O 1.67-1.70
2 Se 0.7311 0.2689 0.2500  4 O 1.67-1.70
3 Tl 0.0000 0.0000 0.0000  2 O 2.22
4 Tl 0.0000 0.0000 0.5000  2 O 2.22
5 O 0.8765 0.1235 0.7500  1 Ni 1.96
6 O 0.9754 0.6324 0.7509  1 Se 1.70
7 O 0.6324 0.9754 0.2509  1 Se 1.70
8 O 0.0246 0.3676 0.2491  1 Se 1.70
9 O 0.3503 0.6478 0.5490  1 Se 1.67
10 O 0.6478 0.3503 0.0490  1 Se 1.67
11 O 0.3522 0.6497 0.9510  1 Se 1.67
12 O 0.6497 0.3522 0.4510  1 Se 1.67
13 O 0.3676 0.0246 0.7491  1 Se 1.70
14 O 0.1235 0.8765 0.2500  1 Ni 1.96
15 Ni 0.2943 0.7057 0.2500  5 O 1.96-2.14
16 Ni 0.7057 0.2943 0.7500  5 O 1.96-2.14